Density functional theory data (GGA-PBE) for ZrCu2Pd8 after structural relaxation.

a = 4.5936 Å, b = 6.7085 Å, c = 6.7085 Å
α = 79.91°, β = 78.57°, γ = 78.57°
Element x y z (fractional)
Pd: 0.8950 0.2660 0.2660
Pd: 0.2950 0.4241 0.4241
Pd: 0.7756 0.6665 0.1539
Pd: 0.2244 0.3335 0.8461
Pd: 0.7756 0.1539 0.6665
Pd: 0.7050 0.5759 0.5759
Pd: 0.1050 0.7340 0.7340
Pd: 0.2244 0.8461 0.3335
Zr: 0.0000 0.0000 0.0000
Cu: 0.4524 0.1655 0.1655
Cu: 0.5476 0.8345 0.8345

Values from the calculation:
total magnetic moment = 0.000 μB per cell
ΔE_f = 101 kJ/mol of formula units
calculated volume = 197 Å³/cell



Density functional theory data (GGA-PBE) for Pm4MgCo after structural relaxation.

a = 9.8142 Å, b = 9.8142 Å, c = 9.8142 Å
α = 60.00°, β = 60.00°, γ = 60.00°
Element x y z (fractional)
Pm: 0.4050 0.4050 0.4050
Pm: 0.8117 0.1883 0.1883
Pm: 0.9371 0.5629 0.5629
Pm: 0.5629 0.9371 0.5629
Pm: 0.4050 0.4050 0.7850
Pm: 0.9371 0.9371 0.5629
Pm: 0.5629 0.5629 0.9371
Pm: 0.1883 0.1883 0.8117
Pm: 0.1883 0.8117 0.1883
Pm: 0.5629 0.9371 0.9371
Pm: 0.8117 0.1883 0.8117
Pm: 0.9371 0.5629 0.9371
Pm: 0.7850 0.4050 0.4050
Pm: 0.4050 0.7850 0.4050
Pm: 0.8117 0.8117 0.1883
Pm: 0.1883 0.8117 0.8117
Co: 0.6089 0.6089 0.6089
Co: 0.6089 0.1733 0.6089
Co: 0.1733 0.6089 0.6089
Co: 0.6089 0.6089 0.1733
Mg: 0.4868 0.1711 0.1711
Mg: 0.1711 0.1711 0.1711
Mg: 0.1711 0.4868 0.1711
Mg: 0.1711 0.1711 0.4868

Values from the calculation:
total magnetic moment = 0.000 μB per cell
ΔE_f = -65 kJ/mol of formula units
calculated volume = 668 Å³/cell



Density functional theory data (GGA-PBE) for CaCd17Pb after structural relaxation.

a = 7.7788 Å, b = 7.7788 Å, c = 7.7788 Å
α = 81.92°, β = 81.92°, γ = 81.92°
Element x y z (fractional)
Cd: 0.0010 0.0010 0.4885
Cd: 0.6488 0.1376 0.6488
Cd: 0.2982 0.6934 0.9986
Cd: 0.2982 0.9986 0.6934
Cd: 0.0010 0.4885 0.0010
Cd: 0.0963 0.0963 0.0963
Cd: 0.6934 0.9986 0.2982
Cd: 0.4885 0.0010 0.0010
Cd: 0.8294 0.3617 0.3617
Cd: 0.8954 0.8954 0.8954
Cd: 0.1376 0.6488 0.6488
Cd: 0.3617 0.3617 0.8294
Cd: 0.9986 0.6934 0.2982
Cd: 0.9986 0.2982 0.6934
Cd: 0.3617 0.8294 0.3617
Cd: 0.6934 0.2982 0.9986
Cd: 0.6488 0.6488 0.1376
Ca: 0.6635 0.6635 0.6635
Pb: 0.3859 0.3859 0.3859

Values from the calculation:
total magnetic moment = 0.000 μB per cell
ΔE_f = -86 kJ/mol of formula units
calculated volume = 458 Å³/cell



Density functional theory data (GGA-PBE) for Na2H2Pt after structural relaxation.

a = 4.7467 Å, b = 5.4662 Å, c = 7.4450 Å
α = 110.24°, β = 90.00°, γ = 115.73°
Element x y z (fractional)
Pt: 0.6168 0.2335 0.1738
Pt: 0.3832 0.7665 0.8262
H: 0.2205 0.4410 0.6438
H: 0.7795 0.5590 0.3562
H: 0.4230 0.8459 0.0896
H: 0.5770 0.1541 0.9104
Na: 0.0984 0.1968 0.8783
Na: 0.9016 0.8032 0.1217
Na: 0.6945 0.3889 0.6173
Na: 0.3055 0.6111 0.3827

Values from the calculation:
DFT total energy = -3.3795 eV/atom
total magnetic moment = 0.000 μB per cell
calculated volume = 161 Å³/cell



Density functional theory data (GGA-PBE) for CePm2S4 after structural relaxation.

a = 3.9528 Å, b = 6.9648 Å, c = 13.4016 Å
α = 90.00°, β = 90.00°, γ = 106.49°
Last column: magnetic moment on the atom in μB.
Element x y z (fractional)
S: 0.2253 0.4507 0.6232  -0.01
S: 0.0302 0.0604 0.2500  -0.01
S: 0.2253 0.4507 0.8768  -0.01
S: 0.5000 0.0000 0.0000  0.00
S: 0.7747 0.5493 0.1232  -0.01
S: 0.9698 0.9396 0.7500  -0.01
S: 0.7747 0.5493 0.3768  -0.01
S: 0.5000 0.0000 0.5000  0.00
Pm: 0.1307 0.2614 0.0683  0.03
Pm: 0.8693 0.7386 0.9317  0.03
Pm: 0.8693 0.7386 0.5683  0.03
Pm: 0.1307 0.2614 0.4317  0.03
Ce: 0.3775 0.7549 0.2500  1.04
Ce: 0.6225 0.2451 0.7500  1.04

Values from the calculation:
DFT total energy = -6.5965 eV/atom
total magnetic moment = 2.554 μB per cell
calculated volume = 354 Å³/cell



Density functional theory data (GGA-PBE) for HfGa2H6 after structural relaxation.

a = 5.0248 Å, b = 5.0248 Å, c = 5.0248 Å
α = 60.00°, β = 60.00°, γ = 60.00°
Element x y z (fractional)
H: 0.2708 0.2708 0.7292
H: 0.7292 0.2708 0.7292
H: 0.2708 0.7292 0.7292
H: 0.2708 0.7292 0.2708
H: 0.7292 0.7292 0.2708
H: 0.7292 0.2708 0.2708
Ga: 0.2500 0.2500 0.2500
Ga: 0.7500 0.7500 0.7500
Hf: 0.0000 0.0000 0.0000

Values from the calculation:
DFT total energy = -3.7220 eV/atom
total magnetic moment = 0.000 μB per cell
calculated volume = 90 Å³/cell



Look up the calculated volume of the sixth one. 90 Å³/cell